Entry one
VASP calculation (PBE-GGA) on a relaxed Nd4Y3Ho crystal.

The structure in extended XYZ format:
```
8
Lattice="3.473 0.000 -0.438 -0.173 6.707 -1.375 -0.255 -0.982 11.964" Properties=species:S:1:pos:R:3 pbc="T T T"
Y -0.087 3.353 -0.687
Y 0.210 5.673 1.668
Y 2.835 0.052 8.484
Nd 2.408 1.119 5.103
Nd 0.637 4.605 5.049
Nd 0.302 2.231 2.395
Nd 2.743 3.494 7.756
Ho 1.737 0.000 -0.219
```

## Properties
Space-group type   C2/m
Fermi-level density of states   1.78 states/eV/atom
Theoretical density   6.13 Mg/m³

***

Entry two
VASP calculation (PBE-GGA) on a relaxed Nd4Y3Ho crystal.

The structure in extended XYZ format:
```
16
Lattice="6.349 0.000 0.000 0.000 7.359 0.000 0.000 0.000 11.626" Properties=species:S:1:pos:R:3 pbc="T T T"
Nd 0.954 6.426 0.000
Nd 4.111 0.931 0.000
Nd 6.227 0.933 2.890
Nd 3.053 6.426 2.923
Nd 0.937 6.428 5.813
Nd 4.128 0.933 5.813
Nd 3.053 6.426 8.703
Nd 6.227 0.933 8.736
Y 4.108 4.580 0.000
Y 6.230 4.578 2.905
Y 3.055 2.780 2.908
Y 0.933 2.779 5.813
Y 3.055 2.780 8.718
Y 6.230 4.578 8.721
Ho 0.929 2.782 0.000
Ho 4.104 4.577 5.813
```

## Properties
Space-group type   Pmn2_1
Fermi-level density of states   1.89 states/eV/atom
Theoretical density   6.17 Mg/m³

***

Stability check: which of them is most stable? entry two.

***

Entry one
VASP calculation (PBE-GGA) on a relaxed Nd2Y2Ho5 crystal.

The structure in extended XYZ format:
```
9
Lattice="3.419 0.000 -0.705 -0.647 9.228 -3.137 0.512 -5.091 11.120" Properties=species:S:1:pos:R:3 pbc="T T T"
Nd 1.750 1.200 8.482
Nd 1.534 2.937 -1.204
Y 2.624 4.901 4.084
Y 0.659 -0.765 3.194
Ho 1.958 5.654 0.851
Ho 1.326 -1.518 6.427
Ho 2.805 1.469 4.961
Ho 0.478 2.667 2.317
Ho 0.000 0.000 0.000
```

## Properties
Space-group type   C2/m
Fermi-level density of states   1.81 states/eV/atom
Theoretical density   7.21 Mg/m³

***

Entry two
VASP calculation (PBE-GGA) on a relaxed Nd2Y2Ho5 crystal.

The structure in extended XYZ format:
```
18
Lattice="-1.550 -10.036 6.089 3.556 2.542 5.095 -7.261 6.523 -2.609" Properties=species:S:1:pos:R:3 pbc="T T T"
Nd 0.035 0.025 0.051
Nd 1.038 -3.722 5.642
Nd -2.777 1.557 2.074
Nd -1.745 -2.004 7.552
Y 0.408 2.161 3.557
Y -5.263 -2.846 5.590
Y -2.160 -4.223 4.111
Y -2.696 3.537 5.036
Ho -4.486 5.439 2.254
Ho 0.707 -5.355 8.437
Ho -6.238 4.331 -0.393
Ho -1.096 -6.789 5.988
Ho -2.508 -1.825 1.757
Ho -3.474 0.335 5.777
Ho -0.777 -0.862 4.491
Ho -5.204 -0.629 3.043
Ho -1.324 4.894 2.016
Ho -4.646 -6.376 5.535
```

## Properties
Space-group type   Ima2
Fermi-level density of states   1.55 states/eV/atom
Theoretical density   7.22 Mg/m³

***

Stability check: which of them is most stable? entry one.

***

Entry one
VASP calculation (PBE-GGA) on a relaxed Nd3Y2Ho crystal.

The structure in extended XYZ format:
```
12
Lattice="11.667 0.000 0.000 0.000 6.287 -0.292 0.000 -2.891 5.590" Properties=species:S:1:pos:R:3 pbc="T T T"
Nd 5.480 -1.374 4.612
Nd 11.313 -1.369 4.620
Nd 5.479 1.695 2.645
Nd 11.312 1.700 2.653
Nd 11.313 4.769 0.686
Nd 5.480 4.764 0.679
Y 8.396 -0.397 2.746
Y 2.563 0.734 4.511
Y 2.563 3.792 2.552
Y 8.396 2.661 0.787
Ho 8.396 2.830 4.416
Ho 2.563 0.565 0.882
```

## Properties
Space-group type   Cmcm
Fermi-level density of states   1.24 states/eV/atom
Theoretical density   6.44 Mg/m³

***

Entry two
VASP calculation (PBE-GGA) on a relaxed Nd3Y2Ho crystal.

The structure in extended XYZ format:
```
12
Lattice="-0.361 -4.637 -2.198 9.524 0.863 -3.385 -1.988 -1.380 9.256" Properties=species:S:1:pos:R:3 pbc="T T T"
Nd 2.200 -2.103 -1.945
Nd 6.962 -1.671 -3.638
Nd 3.242 -0.869 1.300
Nd -0.829 -4.717 4.066
Nd 3.933 -4.285 2.373
Nd 8.004 -0.437 -0.393
Y 5.443 -2.973 -0.642
Y 6.493 -1.749 2.623
Y 0.681 -3.404 1.050
Y 1.731 -2.181 4.315
Ho 4.762 0.431 -1.692
Ho 0.000 0.000 0.000
```

## Properties
Space-group type   Cmmm
Fermi-level density of states   1.38 states/eV/atom
Theoretical density   6.42 Mg/m³

***

Stability check: which of them is most stable? entry one.

***

Entry one
VASP calculation (PBE-GGA) on a relaxed NdYHo crystal.

The structure in extended XYZ format:
```
3
Lattice="3.595 0.000 0.000 0.000 3.595 0.000 -1.797 -1.797 7.624" Properties=species:S:1:pos:R:3 pbc="T T T"
Y 0.000 0.000 0.029
Nd 0.000 0.000 5.066
Ho 1.797 1.797 2.528
```

## Properties
Space-group type   I4mm
Fermi-level density of states   1.42 states/eV/atom
Theoretical density   6.71 Mg/m³

***

Entry two
VASP calculation (PBE-GGA) on a relaxed NdYHo crystal.

The structure in extended XYZ format:
```
6
Lattice="3.611 0.000 0.000 -1.805 3.127 0.000 0.000 0.000 17.432" Properties=species:S:1:pos:R:3 pbc="T T T"
Nd 1.805 1.042 4.909
Nd 0.000 2.085 13.625
Ho 0.000 0.000 10.734
Ho 0.000 0.000 2.017
Y 1.805 1.042 16.607
Y 0.000 2.085 7.891
```

## Properties
Space-group type   P6_3mc
Fermi-level density of states   1.48 states/eV/atom
Theoretical density   6.72 Mg/m³

***

Stability check: which of them is most stable? entry two.

***

Entry one
VASP calculation (PBE-GGA) on a relaxed NdYHo crystal.

The structure in extended XYZ format:
```
3
Lattice="-1.299 0.944 3.155 -4.626 -3.110 -0.974 4.489 -2.324 2.543" Properties=species:S:1:pos:R:3 pbc="T T T"
Y -2.453 -2.219 2.302
Nd -0.215 0.157 0.523
Ho 1.233 -2.428 1.900
```

## Properties
Space-group type   P-6m2
Fermi-level density of states   1.88 states/eV/atom
Theoretical density   6.73 Mg/m³

***

Entry two
VASP calculation (PBE-GGA) on a relaxed NdYHo crystal.

The structure in extended XYZ format:
```
6
Lattice="-1.005 3.144 1.490 -1.492 -4.154 7.753 7.016 4.522 -4.804" Properties=species:S:1:pos:R:3 pbc="T T T"
Nd 1.995 0.142 2.465
Nd 5.710 6.027 -3.043
Y -0.237 -2.711 6.973
Y -0.566 0.204 5.005
Ho 4.180 2.962 -2.008
Ho 3.525 3.207 1.430
```

## Properties
Space-group type   P2_1/m
Fermi-level density of states   1.48 states/eV/atom
Theoretical density   6.71 Mg/m³

***

Stability check: which of them is most stable? entry two.

***

Entry one
VASP calculation (PBE-GGA) on a relaxed Nd2YHo7 crystal.

The structure in extended XYZ format:
```
10
Lattice="-0.873 2.558 -2.285 -7.954 -5.442 -3.054 -2.809 5.918 7.700" Properties=species:S:1:pos:R:3 pbc="T T T"
Nd -7.492 -2.180 -2.320
Nd -4.143 5.215 4.681
Y 0.000 0.000 0.000
Ho -6.257 -1.695 0.493
Ho -4.506 2.171 4.153
Ho -2.559 2.855 1.433
Ho -9.076 0.180 0.928
Ho -3.875 -0.050 -1.317
Ho -7.760 3.085 3.678
Ho -5.818 1.517 1.180
```

## Properties
Space-group type   Cmmm
Fermi-level density of states   1.60 states/eV/atom
Theoretical density   7.44 Mg/m³

***

Entry two
VASP calculation (PBE-GGA) on a relaxed Nd2YHo7 crystal.

The structure in extended XYZ format:
```
10
Lattice="-0.507 -4.917 -3.676 5.495 5.622 -1.364 0.202 -10.623 3.798" Properties=species:S:1:pos:R:3 pbc="T T T"
Nd 4.811 -3.781 -0.789
Nd 0.379 -6.136 -0.452
Y 0.000 0.000 0.000
Ho 3.377 -0.876 0.699
Ho 1.812 -9.042 -1.940
Ho 3.759 -7.034 0.252
Ho 1.430 -2.883 -1.494
Ho 4.425 2.376 -0.340
Ho 0.764 -12.293 -0.902
Ho 2.494 0.353 -2.520
```

## Properties
Space-group type   P-1
Fermi-level density of states   1.43 states/eV/atom
Theoretical density   7.97 Mg/m³

***

Stability check: which of them is most stable? entry two.

***

Entry one
VASP calculation (PBE-GGA) on a relaxed NdY2Ho2 crystal.

The structure in extended XYZ format:
```
10
Lattice="-2.888 7.529 4.842 1.532 -4.597 8.061 3.507 1.298 0.074" Properties=species:S:1:pos:R:3 pbc="T T T"
Nd 0.000 0.000 0.000
Nd -0.678 1.466 6.452
Y 2.075 -0.689 8.297
Y 0.393 3.791 9.464
Y 0.076 4.918 4.680
Y 1.758 0.439 3.513
Ho 0.597 -1.933 5.639
Ho -0.463 0.679 10.081
Ho -1.953 4.865 7.265
Ho -0.893 2.253 2.822
```

## Properties
Space-group type   P4/mbm
Fermi-level density of states   1.10 states/eV/atom
Theoretical density   6.54 Mg/m³

***

Entry two
VASP calculation (PBE-GGA) on a relaxed NdY2Ho2 crystal.

The structure in extended XYZ format:
```
10
Lattice="-4.748 -2.156 2.588 -1.945 -6.191 -2.176 2.620 -2.470 9.294" Properties=species:S:1:pos:R:3 pbc="T T T"
Nd -1.505 -2.583 1.634
Nd -2.567 -8.234 8.072
Y -2.798 -3.986 4.640
Y -1.275 -6.830 5.066
Y -1.670 -5.183 -0.833
Y -2.403 -5.634 10.539
Ho 0.446 -3.044 4.828
Ho -4.518 -7.772 4.878
Ho -0.822 -4.690 7.679
Ho -3.251 -6.127 2.027
```

## Properties
Space-group type   C2/m
Fermi-level density of states   1.99 states/eV/atom
Theoretical density   6.63 Mg/m³

***

Stability check: which of them is most stable? entry one.

***

Entry one
VASP calculation (PBE-GGA) on a relaxed NdY3Ho4 crystal.

The structure in extended XYZ format:
```
8
Lattice="3.433 0.000 -0.433 -0.172 6.565 -1.366 -0.247 -0.962 11.862" Properties=species:S:1:pos:R:3 pbc="T T T"
Y -0.086 3.283 -0.683
Y 0.222 5.555 1.758
Y 2.792 0.048 8.305
Nd 1.716 0.000 -0.217
Ho 2.379 1.154 5.035
Ho 0.634 4.449 5.028
Ho 0.306 2.191 2.421
Ho 2.708 3.412 7.642
```

## Properties
Space-group type   C2/m
Fermi-level density of states   1.80 states/eV/atom
Theoretical density   6.78 Mg/m³

***

Entry two
VASP calculation (PBE-GGA) on a relaxed NdY3Ho4 crystal.

The structure in extended XYZ format:
```
16
Lattice="6.295 0.000 0.000 0.000 7.295 0.000 0.000 0.000 11.295" Properties=species:S:1:pos:R:3 pbc="T T T"
Nd 0.916 2.716 0.000
Nd 4.063 4.578 5.648
Y 4.063 4.575 0.000
Y 6.181 4.576 2.823
Y 3.034 2.719 2.825
Y 0.916 2.720 5.648
Y 3.034 2.719 8.470
Y 6.181 4.576 8.473
Ho 0.938 6.402 0.000
Ho 4.092 0.894 0.000
Ho 6.174 0.895 2.838
Ho 3.026 6.399 2.809
Ho 0.944 6.401 5.648
Ho 4.086 0.893 5.648
Ho 3.026 6.399 8.486
Ho 6.174 0.895 8.457
```

## Properties
Space-group type   Pmn2_1
Fermi-level density of states   1.70 states/eV/atom
Theoretical density   6.86 Mg/m³

***

Stability check: which of them is most stable? entry two.

***

Entry one
VASP calculation (PBE-GGA) on a relaxed Nd7Y2Ho crystal.

The structure in extended XYZ format:
```
10
Lattice="5.467 0.000 0.000 0.000 9.724 -0.877 0.000 -5.169 8.283" Properties=species:S:1:pos:R:3 pbc="T T T"
Nd 0.000 6.742 0.957
Nd 0.000 -2.188 6.449
Nd 2.734 -0.795 2.327
Nd 2.734 5.349 5.079
Nd 2.734 2.435 0.341
Nd 2.734 2.120 7.065
Nd 2.734 2.277 3.703
Y 2.734 5.372 1.800
Y 2.734 -0.817 5.606
Ho 0.000 0.000 0.000
```

## Properties
Space-group type   Cmmm
Fermi-level density of states   1.54 states/eV/atom
Theoretical density   5.40 Mg/m³

***

Entry two
VASP calculation (PBE-GGA) on a relaxed Nd7Y2Ho crystal.

The structure in extended XYZ format:
```
10
Lattice="-0.256 0.330 -3.507 10.014 -2.736 -0.989 -5.892 -8.596 -0.377" Properties=species:S:1:pos:R:3 pbc="T T T"
Nd 4.868 -4.632 -0.791
Nd -0.745 -6.700 -0.575
Nd -1.123 -3.479 -2.024
Nd 4.988 -7.523 -2.850
Nd 2.969 -1.972 -2.181
Nd 0.897 -9.030 -2.693
Nd 1.933 -5.501 -2.437
Y 7.233 -3.549 -2.641
Y -3.367 -7.454 -2.233
Ho 0.000 0.000 0.000
```

## Properties
Space-group type   Cmmm
Fermi-level density of states   1.61 states/eV/atom
Theoretical density   6.18 Mg/m³

***

Stability check: which of them is most stable? entry two.

***

Entry one
VASP calculation (PBE-GGA) on a relaxed Nd2Y7Ho3 crystal.

The structure in extended XYZ format:
```
12
Lattice="3.609 0.000 0.000 0.000 5.771 -0.955 0.000 0.202 19.136" Properties=species:S:1:pos:R:3 pbc="T T T"
Nd 0.000 4.891 11.642
Nd 0.000 1.082 6.540
Y 0.000 2.644 15.981
Y 0.000 4.296 8.045
Y 0.000 0.000 0.000
Y 0.000 3.329 2.201
Y 1.804 0.547 3.306
Y 1.804 5.426 14.875
Y 0.000 1.677 10.136
Ho 1.804 2.885 -0.477
Ho 1.804 3.804 5.072
Ho 1.804 2.169 13.110
```

## Properties
Space-group type   Cmmm
Fermi-level density of states   1.76 states/eV/atom
Theoretical density   5.85 Mg/m³

***

Entry two
VASP calculation (PBE-GGA) on a relaxed Nd2Y7Ho3 crystal.

The structure in extended XYZ format:
```
12
Lattice="3.605 0.000 0.000 0.000 5.804 -0.297 0.000 -3.634 18.948" Properties=species:S:1:pos:R:3 pbc="T T T"
Nd 1.803 2.337 5.405
Nd 1.803 -0.167 13.245
Y 1.803 2.501 8.547
Y 1.803 -0.331 10.104
Y 0.000 2.157 2.554
Y 0.000 0.000 0.000
Y 0.000 0.013 16.097
Y 1.803 -2.943 15.595
Y 1.803 5.114 3.055
Ho 1.803 2.902 -0.149
Ho 0.000 -0.491 6.950
Ho 0.000 2.661 11.701
```

## Properties
Space-group type   P2/m
Fermi-level density of states   1.28 states/eV/atom
Theoretical density   5.94 Mg/m³

***

Stability check: which of them is most stable? entry two.

***

Entry one
VASP calculation (PBE-GGA) on a relaxed Nd3Y2Ho8 crystal.

The structure in extended XYZ format:
```
13
Lattice="-3.563 -0.763 4.997 -2.935 -5.198 -1.617 10.736 -6.985 -1.042" Properties=species:S:1:pos:R:3 pbc="T T T"
Nd 0.000 0.000 0.000
Nd -1.756 -2.166 2.247
Nd 5.994 -10.780 0.092
Y 1.228 -7.549 2.282
Y 3.009 -5.396 0.056
Ho 0.036 -3.560 -0.503
Ho 4.201 -9.385 2.841
Ho 0.061 -7.081 -1.032
Ho 4.177 -5.864 3.370
Ho 3.015 -8.928 -0.480
Ho 5.966 -7.245 0.603
Ho -1.729 -5.701 1.735
Ho 1.223 -4.018 2.818
```

## Properties
Space-group type   P-1
Fermi-level density of states   1.47 states/eV/atom
Theoretical density   7.67 Mg/m³

***

Entry two
VASP calculation (PBE-GGA) on a relaxed Nd3Y2Ho8 crystal.

The structure in extended XYZ format:
```
13
Lattice="4.984 -0.001 0.701 0.128 7.887 -0.907 -1.631 -4.975 11.593" Properties=species:S:1:pos:R:3 pbc="T T T"
Nd 2.492 0.000 0.351
Nd -0.071 2.437 0.504
Nd 3.552 0.474 10.883
Y 1.812 -1.120 5.187
Y 1.670 4.030 6.200
Ho 4.500 4.389 4.151
Ho -1.018 -1.478 7.236
Ho 4.634 -0.535 3.193
Ho -1.152 3.446 8.195
Ho 1.401 0.971 8.107
Ho 1.141 -2.000 9.952
Ho 2.340 4.910 1.435
Ho 2.080 1.940 3.280
```

## Properties
Space-group type   P2/m
Fermi-level density of states   1.57 states/eV/atom
Theoretical density   7.25 Mg/m³

***

Stability check: which of them is most stable? entry one.